# KNa2MnF6

An optimized crystal structure of KNa2MnF6 (PBE+U, Alexandria via LeMat-Bulk).

## Properties
E_tot	-4.550	eV per atom
crystal system	cubic

Cell and atoms, written as POSCAR:
```
KNa2MnF6
1.0
0.000 4.349 4.349
4.349 0.000 4.349
4.349 4.349 0.000
K Na Mn F
1 2 1 6
Cartesian
0.000 0.000 0.000
2.175 2.175 2.175
6.524 6.524 6.524
4.349 4.349 4.349
4.349 4.349 2.446
4.349 2.446 4.349
6.253 4.349 4.349
2.446 4.349 4.349
4.349 6.253 4.349
4.349 4.349 6.253
```